Entry 1:
# ErTmRh

A relaxed structure of ErTmRh (PBE-GGA, Alexandria via LeMat-Bulk).

a = 3.409 Å, b = 3.409 Å, c = 12.447 Å
α = 90.00°, β = 90.00°, γ = 90.00°
Space group I4mm (No. 107)
Asymmetric unit:
Er 0.000 0.000 0.000 x2
Tm 0.000 0.000 0.264 x2
Rh 0.000 0.000 0.633 x2

Entry 2:
# ErTm3Rh2

A relaxed structure of ErTm3Rh2 (PBE-GGA, Alexandria via LeMat-Bulk).

a = 6.612 Å, b = 13.418 Å, c = 6.979 Å
α = 90.00°, β = 90.00°, γ = 90.00°
Space group Ibam (No. 72)
Asymmetric unit:
Er 0.000 0.000 0.000 x4
Tm 0.000 0.232 0.250 x8
Tm 0.000 0.500 0.250 x4
Rh 0.211 0.361 0.000 x8

Entry 3:
# ErTmRh

A relaxed structure of ErTmRh (PBE-GGA, Alexandria via LeMat-Bulk).

a = 8.732 Å, b = 12.830 Å, c = 7.535 Å
α = 90.00°, β = 90.00°, γ = 90.00°
Space group Ima2 (No. 46)
Asymmetric unit:
Er 0.250 0.008 0.000 x4
Er 0.250 0.210 0.398 x4
Er 0.250 0.700 0.884 x4
Tm 0.000 0.000 0.331 x4
Tm 0.010 0.630 0.219 x8
Rh 0.029 0.665 0.585 x8
Rh 0.250 0.013 0.591 x4

Entry 4:
# Er2TmRh

A relaxed structure of Er2TmRh (PBE-GGA, Alexandria via LeMat-Bulk).

a = 3.6796 Å, b = 3.6796 Å, c = 28.2079 Å
α = 90.00°, β = 90.00°, γ = 120.00°
Space group R-3m (No. 166, hexagonal axes)
Asymmetric unit:
Er 0.0000 0.0000 0.2276 x6
Tm 0.0000 0.0000 0.0000 x3
Rh 0.0000 0.0000 0.5000 x3

Entry 5:
# Er2TmRh

A relaxed structure of Er2TmRh (PBE-GGA, Alexandria via LeMat-Bulk).

a = 3.790 Å, b = 11.765 Å, c = 9.224 Å
α = 90.00°, β = 90.00°, γ = 90.00°
Space group Cmcm (No. 63)
Asymmetric unit:
Er 0.000 0.139 0.066 x8
Tm 0.000 0.425 0.250 x4
Rh 0.000 0.252 0.750 x4

Entry 6:
# ErTm2Rh2

A relaxed structure of ErTm2Rh2 (PBE-GGA, Alexandria via LeMat-Bulk).

a = 4.7168 Å, b = 4.7168 Å, c = 5.9487 Å
α = 90.00°, β = 90.00°, γ = 120.00°
Space group P-3m1 (No. 164)
Asymmetric unit:
Er 0.0000 0.0000 0.0000 x1
Tm 0.3333 0.6667 0.6648 x2
Rh 0.3333 0.6667 0.1679 x2

| no. | total DFT energy (no corrections) (eV per formula unit) | ΔE to the lowest computed polymorph (meV per atom) |
| --- | --- | --- |
| 1 | -18.21 | 71 |
| 2 | -36.38 | 90 |
| 3 | -18.35 | 22 |
| 4 | -22.22 | 241 |
| 5 | -23.06 | 31 |
| 6 | -32.14 | 0 |